1.
DFT (PBE-GGA) results for a relaxed PuMnAlOs crystal.

a b c (Å): 6.388 6.388 6.388
angles (deg): 90.00 90.00 90.00
Space group F-43m (No. 216)
One atom of each set of equivalent atoms:
1 Pu 0.000 0.000 0.000
2 Mn 0.250 0.250 0.250
3 Al 0.000 0.000 0.500
4 Os 0.250 0.250 0.750

Calculated values
Energy of formation, eV/atom: -0.167
Electronic total energy, Ry/atom: -0.7192
Calculated density, Mg/m³: 13.15



2.
DFT (PBE-GGA) results for a relaxed SiNi4Cl crystal.

a b c (Å): 6.799 6.799 6.799
angles (deg): 90.00 90.00 90.00
Space group F-43m (No. 216)
One atom of each set of equivalent atoms:
1 Si 0.000 0.000 0.000
2 Ni 0.126 0.126 0.374
3 Cl 0.250 0.250 0.750

Calculated values
Electronic total energy, Ry/atom: -0.3375
Calculated density, Mg/m³: 6.30
E_form (uncorrected), meV/atom: 475



Copy entry 1 word for word.
DFT (PBE-GGA) results for a relaxed PuMnAlOs crystal.

a b c (Å): 6.388 6.388 6.388
angles (deg): 90.00 90.00 90.00
Space group F-43m (No. 216)
One atom of each set of equivalent atoms:
1 Pu 0.000 0.000 0.000
2 Mn 0.250 0.250 0.250
3 Al 0.000 0.000 0.500
4 Os 0.250 0.250 0.750

Calculated values
Energy of formation, eV/atom: -0.167
Electronic total energy, Ry/atom: -0.7192
Calculated density, Mg/m³: 13.15